Below is crystalline Li3Dy3PaSe8 at its relaxed geometry, with properties calculated at the PBE level.

```
Li3Dy3PaSe8
1.0
8.194 0.000 0.000
-4.097 7.095 -0.026
0.000 -4.709 6.514
Dy Se Pa Li
3 8 1 3
Direct
0.500 0.000 0.500 Dy
0.000 0.500 0.500 Dy
0.500 0.500 0.500 Dy
0.248 0.999 0.251 Se
0.249 0.497 0.749 Se
0.751 0.502 0.753 Se
0.249 0.001 0.749 Se
0.249 0.498 0.247 Se
0.752 0.001 0.749 Se
0.751 0.503 0.251 Se
0.751 0.999 0.251 Se
0.000 0.000 0.500 Pa
0.000 0.000 0.000 Li
0.500 0.500 0.000 Li
0.000 0.500 0.000 Li
```

Computed properties:
space-group type: R-3m, No. 166
total magnetic moment: 0.065 μB per atom
uncorrected formation energy: -1.610 eV/atom

Below is crystalline LiDy2PaSe6 at its relaxed geometry, with properties calculated at the PBE level.

```
LiDy2PaSe6
1.0
6.648 0.000 0.000
0.000 6.727 0.000
0.000 0.000 6.727
Se Pa Dy Li
6 1 2 1
Direct
0.178 0.500 0.500 Se
0.748 0.239 0.761 Se
0.748 0.761 0.761 Se
0.748 0.239 0.239 Se
0.748 0.761 0.239 Se
0.171 0.000 0.000 Se
0.595 0.500 0.500 Pa
0.986 0.500 0.000 Dy
0.986 0.000 0.500 Dy
0.539 0.000 0.000 Li
```

Computed properties:
space-group type: P4mm, No. 99
total magnetic moment: 0.000 μB per atom
uncorrected formation energy: -1.193 eV/atom

Below is crystalline LiDy2PaSe4 at its relaxed geometry, with properties calculated at the PBE level.

```
LiDy2PaSe4
1.0
4.007 0.000 0.000
0.000 6.968 -0.150
0.000 2.443 6.668
Li Pa Se Dy
1 1 4 2
Direct
0.000 0.500 0.500 Li
0.500 0.500 0.000 Pa
0.500 0.257 0.742 Se
0.000 0.746 0.741 Se
0.000 0.254 0.259 Se
0.500 0.743 0.258 Se
0.000 0.000 0.000 Dy
0.500 0.000 0.500 Dy
```

Computed properties:
space-group type: P2/m, No. 10
total magnetic moment: 0.136 μB per atom
uncorrected formation energy: -1.558 eV/atom

Below is crystalline Li2DyPaSe4 at its relaxed geometry, with properties calculated at the PBE level.

```
Li2DyPaSe4
1.0
-3.614 -1.687 -0.330
1.456 -4.187 5.463
-2.957 5.881 2.326
Dy Li Pa Se
1 2 1 4
Direct
0.000 0.000 0.000 Dy
0.000 0.500 0.500 Li
0.500 0.000 0.500 Li
0.500 0.500 0.000 Pa
0.500 0.747 0.743 Se
0.500 0.253 0.257 Se
0.000 0.243 0.738 Se
0.000 0.757 0.262 Se
```

Computed properties:
space-group type: P2/m, No. 10
total magnetic moment: 0.229 μB per atom
uncorrected formation energy: -1.463 eV/atom

Below is crystalline Li3Dy4PaSe8 at its relaxed geometry, with properties calculated at the PBE level.

```
Li3Dy4PaSe8
1.0
8.077 0.000 0.000
0.000 8.057 -0.019
-4.038 -4.035 5.714
Dy Se Li Pa
4 8 3 1
Direct
0.000 0.000 0.500 Dy
0.500 0.000 0.500 Dy
0.000 0.000 0.000 Dy
0.500 0.000 0.000 Dy
0.259 0.258 0.009 Se
0.250 0.742 0.991 Se
0.250 0.742 0.500 Se
0.750 0.258 0.500 Se
0.741 0.742 0.991 Se
0.748 0.745 0.496 Se
0.252 0.255 0.504 Se
0.750 0.258 0.009 Se
0.500 0.500 0.000 Li
0.500 0.500 0.500 Li
0.000 0.500 0.500 Li
0.000 0.500 0.000 Pa
```

Computed properties:
space-group type: R-3m, No. 166
total magnetic moment: 0.049 μB per atom
uncorrected formation energy: -1.622 eV/atom

Below is crystalline LiDyPa2Se5 at its relaxed geometry, with properties calculated at the PBE level.

```
LiDyPa2Se5
1.0
-3.494 0.775 -1.694
4.168 -4.672 -6.104
-4.674 -10.495 4.842
Dy Li Se Pa
2 2 10 4
Direct
0.802 0.604 0.501 Dy
0.198 0.396 0.001 Dy
0.515 0.030 0.979 Li
0.485 0.970 0.479 Li
0.364 0.728 0.997 Se
0.501 0.001 0.285 Se
0.689 0.378 0.839 Se
0.713 0.426 0.164 Se
0.636 0.272 0.497 Se
0.499 0.999 0.785 Se
0.287 0.574 0.664 Se
0.953 0.907 0.578 Se
0.047 0.093 0.078 Se
0.311 0.622 0.339 Se
0.871 0.742 0.801 Pa
0.109 0.218 0.680 Pa
0.891 0.782 0.180 Pa
0.129 0.258 0.301 Pa
```

Computed properties:
space-group type: Cmc2_1, No. 36
total magnetic moment: 0.358 μB per atom
uncorrected formation energy: -1.378 eV/atom

Below is crystalline Li3DyPa2Se6 at its relaxed geometry, with properties calculated at the PBE level.

```
Li3DyPa2Se6
1.0
6.957 -0.003 0.000
-3.479 6.024 0.000
-1.160 -2.008 6.643
Li Se Pa Dy
3 6 2 1
Direct
0.836 0.164 0.500 Li
0.500 0.500 0.500 Li
0.164 0.836 0.500 Li
0.245 0.245 0.740 Se
0.913 0.581 0.739 Se
0.419 0.087 0.261 Se
0.755 0.755 0.260 Se
0.581 0.913 0.739 Se
0.087 0.419 0.261 Se
0.333 0.667 0.000 Pa
0.667 0.333 0.000 Pa
0.000 0.000 0.000 Dy
```

Computed properties:
space-group type: C2/m, No. 12
total magnetic moment: 0.302 μB per atom
uncorrected formation energy: -1.395 eV/atom

Below is crystalline LiDyPaTc at its relaxed geometry, with properties calculated at the PBE level.

```
LiDyPaTc
1.0
-3.259 1.090 3.504
-1.202 -3.364 3.366
1.482 0.540 4.647
Dy Tc Pa Li
1 1 1 1
Direct
0.250 0.250 0.250 Dy
0.500 0.500 0.500 Tc
0.750 0.750 0.750 Pa
0.000 0.000 0.000 Li
```

Computed properties:
space-group type: F-43m, No. 216
energy of formation from the pure elements: 0.06 eV/atom
total magnetic moment: 0.000 μB per atom

Below is crystalline Li4Dy3PaTe8 at its relaxed geometry, with properties calculated at the PBE level.

```
Li4Dy3PaTe8
1.0
8.636 0.000 0.000
0.000 8.679 0.023
-4.318 -4.314 6.108
Te Pa Dy Li
8 1 3 4
Direct
0.248 0.244 0.496 Te
0.254 0.759 0.508 Te
0.249 0.241 0.995 Te
0.746 0.241 0.995 Te
0.254 0.759 0.005 Te
0.752 0.756 0.504 Te
0.751 0.759 0.005 Te
0.746 0.241 0.492 Te
0.000 0.500 0.000 Pa
0.500 0.500 0.500 Dy
0.500 0.500 0.000 Dy
0.000 0.500 0.500 Dy
0.500 0.000 0.000 Li
0.500 0.000 0.500 Li
0.000 0.000 0.000 Li
0.000 0.000 0.500 Li
```

Computed properties:
space-group type: R-3m, No. 166
total magnetic moment: 0.107 μB per atom
uncorrected formation energy: -1.165 eV/atom

Below is crystalline Li3Dy3PaTe8 at its relaxed geometry, with properties calculated at the PBE level.

```
Li3Dy3PaTe8
1.0
-8.294 -1.635 -2.062
5.416 -6.572 1.785
-2.623 5.322 6.330
Dy Te Li Pa
3 8 3 1
Direct
0.000 0.500 0.500 Dy
0.500 0.000 0.500 Dy
0.500 0.500 0.500 Dy
0.752 0.504 0.755 Te
0.751 0.003 0.754 Te
0.748 0.997 0.246 Te
0.252 0.503 0.754 Te
0.249 0.997 0.246 Te
0.248 0.496 0.245 Te
0.748 0.497 0.246 Te
0.252 0.003 0.754 Te
0.500 0.500 0.000 Li
0.000 0.000 0.000 Li
0.000 0.500 0.000 Li
0.000 0.000 0.500 Pa
```

Computed properties:
space-group type: R-3m, No. 166
total magnetic moment: 0.064 μB per atom
uncorrected formation energy: -1.182 eV/atom

Below is crystalline Li2DyPb3 at its relaxed geometry, with properties calculated at the PBE level.

```
Li2DyPb3
1.0
-0.277 2.962 -2.051
-3.451 0.373 1.005
3.239 6.369 8.761
Dy Li Pb
1 2 3
Direct
0.500 0.500 0.500 Dy
0.500 0.500 0.155 Li
0.500 0.500 0.845 Li
0.000 0.000 0.309 Pb
0.000 0.000 0.000 Pb
0.000 0.000 0.691 Pb
```

Computed properties:
space-group type: P4/mmm, No. 123
energy of formation from the pure elements: -0.32 eV/atom
total magnetic moment: 0.000 μB per atom

Below is crystalline Li5DyPb6 at its relaxed geometry, with properties calculated at the PBE level.

```
Li5DyPb6
1.0
-4.499 1.051 2.145
-1.605 -6.990 0.057
0.973 -0.157 8.165
Li Pb Dy
5 6 1
Direct
0.000 0.500 0.000 Li
0.672 0.500 0.656 Li
0.661 0.000 0.677 Li
0.339 0.000 0.323 Li
0.328 0.500 0.344 Li
0.173 0.254 0.654 Pb
0.827 0.254 0.346 Pb
0.500 0.273 0.000 Pb
0.173 0.746 0.654 Pb
0.827 0.746 0.346 Pb
0.500 0.727 0.000 Pb
0.000 0.000 0.000 Dy
```

Computed properties:
space-group type: Cmmm, No. 65
energy of formation from the pure elements: -0.30 eV/atom
total magnetic moment: 0.000 μB per atom

Below is crystalline Li2DyPb at its relaxed geometry, with properties calculated at the PBE level.

```
Li2DyPb
1.0
4.895 0.000 0.000
0.000 4.435 0.000
0.000 0.000 4.435
Li Dy Pb
2 1 1
Direct
0.000 0.500 0.000 Li
0.000 0.000 0.500 Li
0.500 0.500 0.500 Dy
0.500 0.000 0.000 Pb
```

Computed properties:
space-group type: P4/mmm, No. 123
energy of formation from the pure elements: -0.26 eV/atom
total magnetic moment: 0.000 μB per atom

Below is crystalline Li4DyPb5 at its relaxed geometry, with properties calculated at the PBE level.

```
Li4DyPb5
1.0
3.582 0.000 0.000
0.000 3.582 0.000
0.000 0.000 18.534
Dy Pb Li
1 5 4
Direct
0.000 0.000 0.000 Dy
0.500 0.500 0.691 Pb
0.500 0.500 0.119 Pb
0.500 0.500 0.500 Pb
0.500 0.500 0.881 Pb
0.500 0.500 0.309 Pb
0.000 0.000 0.787 Li
0.000 0.000 0.595 Li
0.000 0.000 0.405 Li
0.000 0.000 0.213 Li
```

Computed properties:
space-group type: P4/mmm, No. 123
energy of formation from the pure elements: -0.30 eV/atom
total magnetic moment: 0.000 μB per atom

Below is crystalline Li2Dy3Pb6 at its relaxed geometry, with properties calculated at the PBE level.

```
Li2Dy3Pb6
1.0
-2.476 1.705 3.921
1.115 -4.117 2.494
10.964 6.523 0.974
Dy Pb Li
3 6 2
Direct
0.183 0.183 0.366 Dy
0.000 0.000 0.000 Dy
0.817 0.817 0.634 Dy
0.406 0.906 0.811 Pb
0.594 0.094 0.189 Pb
0.691 0.691 0.383 Pb
0.906 0.406 0.811 Pb
0.094 0.594 0.189 Pb
0.309 0.309 0.617 Pb
0.453 0.453 0.906 Li
0.547 0.547 0.094 Li
```

Computed properties:
space-group type: I4/mmm, No. 139
energy of formation from the pure elements: -0.20 eV/atom
total magnetic moment: 0.000 μB per atom

Below is crystalline Li3DyPb6 at its relaxed geometry, with properties calculated at the PBE level.

```
Li3DyPb6
1.0
-1.982 4.328 -1.137
-5.836 -0.633 7.763
8.385 5.116 4.862
Dy Pb Li
2 12 6
Direct
0.250 0.931 0.610 Dy
0.750 0.069 0.390 Dy
0.750 0.734 0.479 Pb
0.750 0.519 0.890 Pb
0.750 0.402 0.306 Pb
0.250 0.175 0.204 Pb
0.250 0.481 0.110 Pb
0.250 0.266 0.521 Pb
0.750 0.162 0.707 Pb
0.750 0.946 0.091 Pb
0.250 0.054 0.909 Pb
0.750 0.825 0.796 Pb
0.250 0.598 0.694 Pb
0.250 0.838 0.293 Pb
0.250 0.565 0.412 Li
0.750 0.435 0.588 Li
0.250 0.331 0.815 Li
0.250 0.744 0.975 Li
0.750 0.256 0.025 Li
0.750 0.669 0.185 Li
```

Computed properties:
space-group type: P2_1/m, No. 11
energy of formation from the pure elements: -0.23 eV/atom
total magnetic moment: 0.000 μB per atom

Below is crystalline LiDyPb at its relaxed geometry, with properties calculated at the PBE level.

```
LiDyPb
1.0
4.465 0.000 0.000
0.000 4.465 0.000
0.000 0.000 7.420
Pb Li Dy
2 2 2
Direct
0.000 0.500 0.256 Pb
0.500 0.000 0.744 Pb
0.500 0.500 0.500 Li
0.000 0.000 0.500 Li
0.500 0.000 0.171 Dy
0.000 0.500 0.829 Dy
```

Computed properties:
space-group type: P4/nmm, No. 129
energy of formation from the pure elements: -0.46 eV/atom
total magnetic moment: 0.000 μB per atom

Below is crystalline Li4DyPb7 at its relaxed geometry, with properties calculated at the PBE level.

```
Li4DyPb7
1.0
-3.639 -4.347 -1.571
3.627 -7.452 1.204
-3.084 -3.600 6.093
Pb Li Dy
7 4 1
Direct
0.215 0.120 0.450 Pb
0.921 0.412 0.745 Pb
0.721 0.320 0.238 Pb
0.279 0.680 0.762 Pb
0.500 0.000 0.000 Pb
0.079 0.588 0.255 Pb
0.785 0.880 0.550 Pb
0.528 0.295 0.650 Li
0.472 0.705 0.350 Li
0.683 0.663 0.971 Li
0.317 0.337 0.029 Li
0.000 0.000 0.000 Dy
```

Computed properties:
space-group type: C2/m, No. 12
energy of formation from the pure elements: -0.13 eV/atom
total magnetic moment: 0.000 μB per atom

Below is crystalline LiDy2Pb2 at its relaxed geometry, with properties calculated at the PBE level.

```
LiDy2Pb2
1.0
-5.679 2.802 0.773
-2.548 -3.876 -4.668
2.551 -3.875 6.463
Dy Pb Li
4 4 2
Direct
0.860 0.645 0.721 Dy
0.360 0.076 0.721 Dy
0.140 0.355 0.279 Dy
0.640 0.924 0.279 Dy
0.618 0.379 0.236 Pb
0.118 0.857 0.236 Pb
0.882 0.143 0.764 Pb
0.382 0.621 0.764 Pb
0.250 0.500 0.000 Li
0.750 0.500 0.000 Li
```

Computed properties:
space-group type: Ibam, No. 72
energy of formation from the pure elements: -0.37 eV/atom
total magnetic moment: 0.000 μB per atom

Below is crystalline LiDy2Pb8 at its relaxed geometry, with properties calculated at the PBE level.

```
LiDy2Pb8
1.0
-1.461 -4.462 -1.056
2.618 -1.721 3.652
-10.651 1.512 8.347
Pb Li Dy
8 1 2
Direct
0.500 0.000 0.132 Pb
0.500 0.500 0.310 Pb
0.000 0.500 0.132 Pb
0.500 0.000 0.500 Pb
0.500 0.000 0.868 Pb
0.500 0.500 0.690 Pb
0.000 0.500 0.868 Pb
0.000 0.500 0.500 Pb
0.000 0.000 0.000 Li
0.000 0.000 0.323 Dy
0.000 0.000 0.677 Dy
```

Computed properties:
space-group type: P4/mmm, No. 123
energy of formation from the pure elements: -0.23 eV/atom
total magnetic moment: 0.000 μB per atom

Below is crystalline Li4DyPb at its relaxed geometry, with properties calculated at the PBE level.

```
Li4DyPb
1.0
5.612 0.000 0.000
2.806 4.860 0.000
2.806 1.620 4.582
Li Pb Dy
4 1 1
Direct
0.126 0.625 0.625 Li
0.625 0.625 0.625 Li
0.625 0.126 0.625 Li
0.625 0.625 0.126 Li
0.000 0.000 0.000 Pb
0.250 0.250 0.250 Dy
```

Computed properties:
space-group type: F-43m, No. 216
energy of formation from the pure elements: -0.10 eV/atom
total magnetic moment: 0.000 μB per atom

Below is crystalline LiDyPb at its relaxed geometry, with properties calculated at the PBE level.

```
LiDyPb
1.0
-0.608 -4.614 -0.677
3.169 -3.056 1.652
-1.089 -2.785 3.629
Pb Dy Li
1 1 1
Direct
0.000 0.000 0.000 Pb
0.500 0.500 0.500 Dy
0.250 0.250 0.250 Li
```

Computed properties:
space-group type: F-43m, No. 216
energy of formation from the pure elements: -0.31 eV/atom
total magnetic moment: 0.000 μB per atom